VASP calculation (GGA-PBE) on Ta2Zn after structural relaxation.

a b c (Å): 5.2075 9.8361 9.8361
angles (deg): 90.00 90.00 90.00
Positions (direct):
Ta  0.7497  0.8166  0.8166
Ta  0.5000  0.6310  0.0354
Ta  0.5000  0.8988  0.1012
Ta  0.0000  0.5354  0.8690
Ta  0.0000  0.1310  0.4646
Ta  0.0000  0.6012  0.6012
Ta  0.7503  0.3166  0.6834
Ta  0.5000  0.9646  0.3690
Ta  0.0000  0.8690  0.5354
Ta  0.7503  0.6834  0.3166
Ta  0.2503  0.1834  0.1834
Ta  0.2497  0.3166  0.6834
Ta  0.2503  0.8166  0.8166
Ta  0.0000  0.3988  0.3988
Ta  0.0000  0.4646  0.1310
Ta  0.5000  0.1012  0.8988
Ta  0.5000  0.0354  0.6310
Ta  0.2497  0.6834  0.3166
Ta  0.7497  0.1834  0.1834
Ta  0.5000  0.3690  0.9646
Zn  0.5000  0.4339  0.2435
Zn  0.0000  0.0661  0.7435
Zn  0.0000  0.9339  0.2565
Zn  0.0000  0.2565  0.9339
Zn  0.0000  0.7435  0.0661
Zn  0.5000  0.5000  0.5000
Zn  0.5000  0.7565  0.5661
Zn  0.5000  0.5661  0.7565
Zn  0.5000  0.2435  0.4339
Zn  0.0000  0.0000  0.0000

Output
Total magnetization (μB per cell): 0.00
Raw total energy (Ry/atom): -0.613
Space group: P4_2/mnm



VASP calculation (GGA-PBE) on TaZn after structural relaxation.

a b c (Å): 2.8138 2.8138 8.2794
angles (deg): 90.00 90.00 90.00
Positions (direct):
Ta  0.7500  0.7500  0.8579
Ta  0.2500  0.2500  0.1421
Zn  0.2500  0.2500  0.6093
Zn  0.7500  0.7500  0.3907

Output
Total magnetization (μB per cell): 0.00
Raw total energy (Ry/atom): -0.481
Space group: P4/nmm



VASP calculation (GGA-PBE) on TaZn after structural relaxation.

a b c (Å): 2.8003 17.6727 10.6728
angles (deg): 90.00 90.00 90.00
Positions (direct):
Zn  0.2500  0.2500  0.1109
Zn  0.0000  0.0000  0.6391
Zn  0.7500  0.2500  0.6109
Zn  0.5000  0.5000  0.3609
Zn  0.2500  0.7500  0.6109
Zn  0.7500  0.7500  0.3891
Zn  0.7500  0.2500  0.8891
Zn  0.5000  0.5000  0.6391
Zn  0.5000  0.0000  0.8609
Zn  0.0000  0.5000  0.1391
Zn  0.7500  0.7500  0.1109
Zn  0.5000  0.0000  0.1391
Zn  0.2500  0.7500  0.8891
Zn  0.0000  0.0000  0.3609
Zn  0.0000  0.5000  0.8609
Zn  0.2500  0.2500  0.3891
Ta  0.5000  0.1117  0.5000
Ta  0.2500  0.1383  0.7500
Ta  0.5000  0.8883  0.5000
Ta  0.7500  0.6383  0.7500
Ta  0.2500  0.8617  0.2500
Ta  0.7500  0.8617  0.7500
Ta  0.0000  0.8883  0.0000
Ta  0.7500  0.1383  0.2500
Ta  0.5000  0.3883  0.0000
Ta  0.2500  0.6383  0.2500
Ta  0.0000  0.6117  0.5000
Ta  0.2500  0.3617  0.7500
Ta  0.5000  0.6117  0.0000
Ta  0.7500  0.3617  0.2500
Ta  0.0000  0.3883  0.5000
Ta  0.0000  0.1117  0.0000

Output
Total magnetization (μB per cell): 0.00
Raw total energy (Ry/atom): -0.473
Space group: Fddd



VASP calculation (GGA-PBE) on Ta3Zn4 after structural relaxation.

a b c (Å): 2.8163 14.3115 2.8163
angles (deg): 84.35 90.00 95.65
Positions (direct):
Ta  0.2919  0.5839  0.7081
Ta  0.0000  0.0000  0.0000
Ta  0.7081  0.4161  0.2919
Zn  0.5719  0.1437  0.4281
Zn  0.4281  0.8563  0.5719
Zn  0.1362  0.2723  0.8638
Zn  0.8638  0.7277  0.1362

Output
Total magnetization (μB per cell): 0.00
Raw total energy (Ry/atom): -0.426
Excess energy over the best structure of this formula in the dataset (eV per atom): 0.000
Space group: I4/mmm



VASP calculation (GGA-PBE) on Ta2Zn3 after structural relaxation.

a b c (Å): 11.7792 11.7792 11.7792
angles (deg): 13.95 13.95 13.95
Positions (direct):
Zn  0.0000  0.0000  0.0000
Zn  0.8020  0.8020  0.8020
Zn  0.1980  0.1980  0.1980
Ta  0.4011  0.4011  0.4011
Ta  0.5989  0.5989  0.5989

Output
Total magnetization (μB per cell): 0.00
Raw total energy (Ry/atom): -0.393
Excess energy over the best structure of this formula in the dataset (eV per atom): 0.087
Space group: R-3m



VASP calculation (GGA-PBE) on TaZn after structural relaxation.

a b c (Å): 3.8768 3.8768 5.4096
angles (deg): 90.00 90.00 120.00
Positions (direct):
Zn  0.0000  0.0000  0.5000
Zn  0.0000  0.0000  0.0000
Ta  0.6667  0.3333  0.7500
Ta  0.3333  0.6667  0.2500

Output
Total magnetization (μB per cell): 0.00
Raw total energy (Ry/atom): -0.438
Space group: P6_3/mmc



VASP calculation (GGA-PBE) on Ta5Zn after structural relaxation.

a b c (Å): 3.3545 3.3545 9.3820
angles (deg): 90.00 90.00 90.00
Positions (direct):
Ta  0.0000  0.0000  0.3428
Ta  0.0000  0.0000  0.6572
Ta  0.5000  0.5000  0.1745
Ta  0.5000  0.5000  0.8255
Ta  0.0000  0.0000  0.0000
Zn  0.5000  0.5000  0.5000

Output
Total magnetization (μB per cell): 0.00
Raw total energy (Ry/atom): -0.740
Excess energy over the best structure of this formula in the dataset (eV per atom): 0.000
Space group: P4/mmm



VASP calculation (GGA-PBE) on Ta3Zn after structural relaxation.

a b c (Å): 5.8031 5.8031 4.9029
angles (deg): 90.00 90.00 120.57
Positions (direct):
Ta  0.9165  0.0835  0.2500
Ta  0.9284  0.5867  0.2500
Ta  0.5867  0.9284  0.7500
Ta  0.4133  0.0716  0.2500
Ta  0.0716  0.4133  0.7500
Ta  0.0835  0.9165  0.7500
Zn  0.4240  0.5760  0.2500
Zn  0.5760  0.4240  0.7500

Output
Total magnetization (μB per cell): 0.00
Raw total energy (Ry/atom): -0.661
Space group: Cmcm